Here is crystalline Pr6Sm2Mg at its relaxed geometry from Alexandria. Energies are from PBE. Values from VASP.

## Properties
M_tot in Bohr magnetons per cell: 0.00
Space-group type: No. 15
Energy relative to the lowest polymorph listed for this composition in meV per atom: 39.6
DFT formation energy in meV/atom: 56

Cell and atoms, written as Quantum ESPRESSO input:
```
&SYSTEM
  ibrav = 0, nat = 18, ntyp = 3
/
ATOMIC_SPECIES
Pr 140.91 Pr.upf
Mg 24.30 Mg.upf
Sm 150.36 Sm.upf
CELL_PARAMETERS angstrom
-2.902 -5.216 -1.870
10.460 -3.509 4.090
3.818 -2.254 10.899
ATOMIC_POSITIONS angstrom
Pr 2.839 -2.027 6.525
Pr 4.711 -5.263 2.182
Pr -1.076 -5.382 -1.073
Pr 6.665 -5.717 10.937
Pr 5.724 -3.961 5.312
Pr 11.999 -8.394 12.235
Pr 12.452 -5.597 14.192
Pr 8.537 -8.953 6.594
Pr -0.622 -2.586 0.884
Pr 8.087 -4.597 7.734
Pr 5.652 -7.019 7.807
Pr 3.289 -6.383 5.385
Mg 4.741 -3.870 8.742
Mg 6.636 -7.110 4.377
Sm 1.741 -3.683 3.456
Sm 1.350 -6.492 1.434
Sm 9.635 -7.296 9.663
Sm 10.026 -4.488 11.685
```



Here is crystalline PrSm6Mg at its relaxed geometry from Alexandria. Energies are from PBE. Values from VASP.

## Properties
M_tot in Bohr magnetons per cell: 0.00
Space-group type: No. 2
Energy relative to the lowest polymorph listed for this composition in meV per atom: 0.0
DFT formation energy in meV/atom: 108

Cell and atoms, written as Quantum ESPRESSO input:
```
&SYSTEM
  ibrav = 0, nat = 8, ntyp = 3
/
ATOMIC_SPECIES
Sm 150.36 Sm.upf
Mg 24.30 Mg.upf
Pr 140.91 Pr.upf
CELL_PARAMETERS angstrom
-4.598 -3.924 7.539
-6.306 -5.819 -0.686
-0.780 -5.834 2.679
ATOMIC_POSITIONS angstrom
Sm -7.588 -11.085 5.193
Sm -1.625 -2.670 2.409
Sm -7.946 -8.466 7.516
Sm -3.737 -7.111 2.016
Sm -10.058 -12.907 7.123
Sm -4.096 -4.492 4.338
Mg 0.000 0.000 0.000
Pr -5.842 -7.788 4.766
```



Here is crystalline Pr12Sm3Mg at its relaxed geometry from Alexandria. Energies are from PBE. Values from VASP.

## Properties
M_tot in Bohr magnetons per cell: 0.00
Space-group type: No. 123
DFT formation energy in meV/atom: 8

Cell and atoms, written as Quantum ESPRESSO input:
```
&SYSTEM
  ibrav = 0, nat = 16, ntyp = 3
/
ATOMIC_SPECIES
Pr 140.91 Pr.upf
Sm 150.36 Sm.upf
Mg 24.30 Mg.upf
CELL_PARAMETERS angstrom
-4.944 1.142 1.042
-1.390 -1.752 -4.673
-2.728 -19.074 7.961
ATOMIC_POSITIONS angstrom
Pr -2.805 -1.756 1.493
Pr -3.090 -17.622 4.653
Pr -4.181 -11.377 5.508
Pr -1.714 -8.001 0.638
Pr -5.224 -14.684 4.186
Pr -2.404 -12.824 2.650
Pr -4.531 -9.841 2.165
Pr -4.867 -16.175 7.511
Pr -3.838 -4.999 0.144
Pr -3.491 -6.555 3.495
Pr -3.167 -0.305 -1.815
Pr -1.028 -3.203 -1.365
Sm -2.054 -14.361 5.994
Sm -1.364 -9.537 3.980
Sm -0.674 -4.712 1.967
Mg 0.000 0.000 0.000
```



Here is crystalline Pr4Sm3Mg at its relaxed geometry from Alexandria. Energies are from PBE. Values from VASP.

## Properties
M_tot in Bohr magnetons per cell: 0.00
Space-group type: No. 12
Energy relative to the lowest polymorph listed for this composition in meV per atom: 173.9
DFT formation energy in meV/atom: 161

Cell and atoms, written as Quantum ESPRESSO input:
```
&SYSTEM
  ibrav = 0, nat = 8, ntyp = 3
/
ATOMIC_SPECIES
Sm 150.36 Sm.upf
Pr 140.91 Pr.upf
Mg 24.30 Mg.upf
CELL_PARAMETERS angstrom
3.686 0.000 0.000
0.000 5.413 -0.141
-1.843 -0.196 14.148
ATOMIC_POSITIONS angstrom
Sm 1.843 4.056 9.766
Sm 0.000 1.160 4.241
Sm 0.000 2.706 -0.070
Pr 0.000 1.395 11.377
Pr 0.000 1.254 7.960
Pr 1.843 3.821 2.630
Pr 1.843 3.963 6.047
Mg 1.843 0.000 0.000
```



Here is crystalline Pr5Sm5Mg2 at its relaxed geometry from Alexandria. Energies are from PBE. Values from VASP.

## Properties
M_tot in Bohr magnetons per cell: 0.00
Space-group type: No. 12
DFT formation energy in meV/atom: 9

Cell and atoms, written as Quantum ESPRESSO input:
```
&SYSTEM
  ibrav = 0, nat = 12, ntyp = 3
/
ATOMIC_SPECIES
Pr 140.91 Pr.upf
Sm 150.36 Sm.upf
Mg 24.30 Mg.upf
CELL_PARAMETERS angstrom
4.926 0.000 1.393
1.946 10.270 2.524
0.378 0.500 8.070
ATOMIC_POSITIONS angstrom
Pr 1.112 2.927 5.474
Pr 4.285 2.785 3.661
Pr 6.139 7.844 6.512
Pr 0.000 0.000 0.000
Pr 2.966 7.986 8.325
Sm 2.887 3.120 8.604
Sm 4.364 7.650 3.382
Sm 3.540 0.364 6.297
Sm 3.625 5.385 5.993
Sm 3.711 10.407 5.689
Mg 1.867 5.224 2.805
Mg 5.384 5.547 9.181
```



Here is crystalline Pr2SmMg at its relaxed geometry from Alexandria. Energies are from PBE. Values from VASP.

## Properties
M_tot in Bohr magnetons per cell: 0.00
Space-group type: No. 160
Energy relative to the lowest polymorph listed for this composition in meV per atom: 77.0
DFT formation energy in meV/atom: 38

Cell and atoms, written as Quantum ESPRESSO input:
```
&SYSTEM
  ibrav = 0, nat = 4, ntyp = 3
/
ATOMIC_SPECIES
Sm 150.36 Sm.upf
Pr 140.91 Pr.upf
Mg 24.30 Mg.upf
CELL_PARAMETERS angstrom
3.621 0.000 0.000
1.811 3.136 0.000
1.811 1.045 11.642
ATOMIC_POSITIONS angstrom
Sm 5.432 3.136 11.627
Pr 1.811 1.045 8.653
Pr 1.811 1.045 2.998
Mg 3.621 2.091 5.826
```



Look up the DFT formation energy of the sixth one.
38 meV/atom